Record 1
DFT (GGA-PBE) results for BaNaCa4 after structural relaxation.

Unit cell a=7.433 b=7.433 c=7.433 alpha=60.00 beta=60.00 gamma=60.00
Positions (direct):
Ca: 0.625 0.625 0.126
Ca: 0.625 0.625 0.625
Ca: 0.625 0.126 0.625
Ca: 0.126 0.625 0.625
Ba: 0.250 0.250 0.250
Na: 0.000 0.000 0.000

**Offset from the most stable computed form**: 64 meV/atom
**Volume**: 48.39 Å³ per atom
**ΔE_f**: 111 meV per atom
**E_tot**: -1.7632 eV/atom
**Symmetry**: No. 216

Record 2
DFT (GGA-PBE) results for Ti2HPd after structural relaxation.

Unit cell a=5.820 b=5.820 c=5.173 alpha=55.77 beta=55.77 gamma=90.00
Positions (direct):
H: 0.250 0.750 0.500
H: 0.500 0.500 0.000
Ti: 0.538 0.125 0.250
Ti: 0.212 0.625 0.250
Ti: 0.875 0.788 0.750
Ti: 0.375 0.462 0.750
Pd: 0.750 0.250 0.500
Pd: 0.000 0.000 0.000

**Volume**: 13.27 Å³ per atom
**E_tot**: -6.3564 eV/atom
**Symmetry**: No. 122

no.,total magnetization (μB per cell),DOS(E_F) (states/eV/atom)
1,0.0,1.005
2,0.0,0.992